Nd2MgTi after structural relaxation, computed with PBE-GGA.

Cell and atoms, written as POSCAR:
```
Nd2MgTi
1.0
-1.927 0.003 -2.865
0.183 -3.446 -0.127
-7.635 -0.593 5.135
Nd Ti Mg
2 1 1
direct
0.000 0.000 0.234
0.000 0.000 0.766
0.500 0.500 0.000
0.500 0.500 0.500
```

## Properties
For the formation energy, the calculation gives 0.12 eV per atom. The calculation puts the energy above the most stable polymorph in this dataset at 0.00 eV per formula unit. As for the total energy: -4.63 eV/atom.